[1]
VASP calculation (PBEsol) on a relaxed structure of NdTm3S6.

## Properties
Electronic total energy   -6.752 eV per atom
V   442.3 Å³ per cell
Formation energy from raw total energies   -2.135 eV per atom
ρ   6.33 g cm⁻³

Cell: 10.816 3.889 11.117 Å, 90.00 108.94 90.00°
Atoms (fractional coordinates):
Nd: 0.050 0.250 0.196
Nd: 0.950 0.750 0.804
Tm: 0.160 0.250 0.586
Tm: 0.320 0.750 0.999
Tm: 0.442 0.250 0.333
Tm: 0.558 0.750 0.667
Tm: 0.680 0.250 0.001
Tm: 0.840 0.750 0.414
S: 0.084 0.750 0.406
S: 0.120 0.250 0.964
S: 0.197 0.750 0.749
S: 0.265 0.750 0.228
S: 0.393 0.250 0.557
S: 0.481 0.250 0.113
S: 0.519 0.750 0.887
S: 0.607 0.750 0.443
S: 0.735 0.250 0.772
S: 0.803 0.250 0.251
S: 0.880 0.750 0.036
S: 0.916 0.250 0.594

---

[2]
VASP calculation (PBEsol) on a relaxed structure of NdU2S5.

## Properties
Electronic total energy   -8.028 eV per atom
D(E_F)   55.560 states/eV/cell
V   653.5 Å³ per cell
Formation energy from raw total energies   -1.603 eV per atom
ρ   7.93 g cm⁻³

Cell: 11.464 7.270 7.841 Å, 90.00 90.00 90.00°
Atoms (fractional coordinates):
Nd: 0.178 0.028 0.000
Nd: 0.322 0.528 0.500
Nd: 0.678 0.472 0.000
Nd: 0.822 0.972 0.500
U: 0.009 0.577 0.750
U: 0.179 0.024 0.503
U: 0.321 0.524 0.003
U: 0.491 0.077 0.250
U: 0.509 0.923 0.750
U: 0.679 0.476 0.503
U: 0.821 0.976 0.003
U: 0.991 0.423 0.250
S: 0.000 0.038 0.253
S: 0.000 0.962 0.753
S: 0.091 0.675 0.451
S: 0.098 0.660 0.046
S: 0.188 0.331 0.751
S: 0.218 0.301 0.252
S: 0.282 0.801 0.752
S: 0.312 0.831 0.251
S: 0.402 0.160 0.546
S: 0.409 0.175 0.951
S: 0.500 0.462 0.253
S: 0.500 0.538 0.753
S: 0.591 0.825 0.451
S: 0.598 0.840 0.046
S: 0.688 0.169 0.751
S: 0.718 0.199 0.252
S: 0.782 0.699 0.752
S: 0.812 0.669 0.251
S: 0.902 0.340 0.546
S: 0.909 0.325 0.951

---

[3]
VASP calculation (PBEsol) on a relaxed structure of Nd2ZrS5.

## Properties
Electronic total energy   -7.147 eV per atom
V   658.8 Å³ per cell
Formation energy from raw total energies   -1.979 eV per atom
ρ   5.44 g cm⁻³

Cell: 11.395 7.954 7.269 Å, 90.00 90.00 90.00°
Atoms (fractional coordinates):
Nd: 0.175 0.001 0.043
Nd: 0.175 0.499 0.043
Nd: 0.325 0.501 0.543
Nd: 0.325 0.999 0.543
Nd: 0.675 0.001 0.457
Nd: 0.675 0.499 0.457
Nd: 0.825 0.501 0.957
Nd: 0.825 0.999 0.957
Zr: 0.010 0.750 0.576
Zr: 0.490 0.250 0.076
Zr: 0.510 0.750 0.924
Zr: 0.990 0.250 0.424
S: 0.004 0.750 0.946
S: 0.082 0.038 0.671
S: 0.082 0.462 0.671
S: 0.187 0.750 0.346
S: 0.209 0.250 0.326
S: 0.291 0.750 0.826
S: 0.313 0.250 0.846
S: 0.418 0.538 0.171
S: 0.418 0.962 0.171
S: 0.496 0.250 0.446
S: 0.504 0.750 0.554
S: 0.582 0.038 0.829
S: 0.582 0.462 0.829
S: 0.687 0.750 0.154
S: 0.709 0.250 0.174
S: 0.791 0.750 0.674
S: 0.813 0.250 0.654
S: 0.918 0.538 0.329
S: 0.918 0.962 0.329
S: 0.996 0.250 0.054

---

[4]
VASP calculation (PBEsol) on a relaxed structure of NdSb2.

## Properties
Electronic total energy   -5.607 eV per atom
D(E_F)   3.625 states/eV/cell
V   339.4 Å³ per cell
Formation energy from raw total energies   -0.846 eV per atom
ρ   7.59 g cm⁻³

Cell: 4.352 4.352 17.924 Å, 90.00 90.00 88.79°
Atoms (fractional coordinates):
Nd: 0.138 0.862 0.890
Nd: 0.362 0.638 0.390
Nd: 0.638 0.362 0.610
Nd: 0.862 0.138 0.110
Sb: 0.124 0.376 0.750
Sb: 0.136 0.864 0.564
Sb: 0.364 0.636 0.064
Sb: 0.376 0.124 0.250
Sb: 0.624 0.876 0.750
Sb: 0.636 0.364 0.936
Sb: 0.864 0.136 0.436
Sb: 0.876 0.624 0.250

---

[5]
VASP calculation (PBEsol) on a relaxed structure of Nd4Sb3.

## Properties
Electronic total energy   -6.006 eV per atom
D(E_F)   13.027 states/eV/cell
V   411.5 Å³ per cell
Formation energy from raw total energies   -1.100 eV per atom
ρ   7.60 g cm⁻³

Cell: 8.116 8.116 8.116 Å, 109.47 109.47 109.47°
Atoms (fractional coordinates):
Nd: 0.000 0.142 0.500
Nd: 0.000 0.642 0.500
Nd: 0.142 0.500 0.000
Nd: 0.358 0.358 0.358
Nd: 0.500 0.000 0.142
Nd: 0.500 0.000 0.642
Nd: 0.642 0.500 0.000
Nd: 0.858 0.858 0.858
Sb: 0.125 0.875 0.250
Sb: 0.250 0.125 0.875
Sb: 0.375 0.625 0.750
Sb: 0.625 0.750 0.375
Sb: 0.750 0.375 0.625
Sb: 0.875 0.250 0.125

---

[6]
VASP calculation (PBEsol) on a relaxed structure of Nd2Sb.

## Properties
Electronic total energy   -5.855 eV per atom
D(E_F)   15.309 states/eV/cell
V   354.8 Å³ per cell
Formation energy from raw total energies   -0.891 eV per atom
ρ   7.68 g cm⁻³

Cell: 4.493 4.493 17.574 Å, 90.00 90.00 90.00°
Atoms (fractional coordinates):
Nd: 0.000 0.000 0.179
Nd: 0.000 0.000 0.821
Nd: 0.000 0.500 0.000
Nd: 0.000 0.500 0.500
Nd: 0.500 0.000 0.000
Nd: 0.500 0.000 0.500
Nd: 0.500 0.500 0.321
Nd: 0.500 0.500 0.679
Sb: 0.000 0.000 0.362
Sb: 0.000 0.000 0.638
Sb: 0.500 0.500 0.138
Sb: 0.500 0.500 0.862

---

Q: Number 2 is which compound?
A: NdU2S5

---

Q: Which formula does entry 2 have?
A: NdU2S5

---

Q: What is the formation energy from raw total energies in the second record?
A: -1.603 eV per atom

---

Q: Look up the electronic total energy of the sixth one.
A: -5.855 eV per atom